1 | PmNd2Ho3: optimized geometry, PBE-GGA.

Lattice parameters (Å, degrees): 8.9585 8.9585 10.1629 122.43 122.43 36.35
With the nearest neighbours (Å) after each atom.
Positions (direct):
Pm  0.1348  0.1348  0.1419  5 Ho 3.58-3.67, 7 Nd 3.68-3.87, 1 Pm 3.80
Pm  0.8652  0.8652  0.8581  5 Ho 3.58-3.67, 7 Nd 3.68-3.87, 1 Pm 3.80
Nd  0.2258  0.2258  0.8689  3 Ho 3.40-3.75, 3 Nd 3.62-3.66, 2 Pm 3.71
Nd  0.4860  0.4860  0.1380  1 Nd 3.10, 2 Ho 3.18-3.35
Nd  0.5140  0.5140  0.8620  1 Nd 3.10, 2 Ho 3.18-3.35
Nd  0.7742  0.7742  0.1311  3 Ho 3.40-3.75, 3 Nd 3.62-3.66, 2 Pm 3.71
Ho  0.0509  0.0509  0.3985  8 Ho 3.36-3.75, 2 Nd 3.57, 1 Pm 3.61
Ho  0.2948  0.2948  0.5779  4 Ho 3.15-3.51, 1 Nd 3.18
Ho  0.3885  0.3885  0.3467  4 Ho 3.28-3.54, 3 Nd 3.35-3.40, 1 Pm 3.58
Ho  0.6115  0.6115  0.6533  4 Ho 3.28-3.54, 3 Nd 3.35-3.40, 1 Pm 3.58
Ho  0.7052  0.7052  0.4221  4 Ho 3.15-3.51, 1 Nd 3.18
Ho  0.9491  0.9491  0.6015  8 Ho 3.36-3.75, 2 Nd 3.57, 1 Pm 3.61

V   399.1 Å³ per cell
D(E_F)   1.638 states/eV/atom
SG   C2/m, No. 12
Total moment   0.00 μB per cell

=====

2 | PmNd2Ho3: optimized geometry, PBE-GGA.

Lattice parameters (Å, degrees): 11.8318 11.8318 10.3338 108.30 108.30 17.08
With the nearest neighbours (Å) after each atom.
Positions (direct):
Pm  0.1878  0.1878  0.0365  5 Ho 3.38-3.72, 3 Nd 3.45-3.74, 4 Pm 3.51-3.68
Pm  0.8122  0.8122  0.9635  5 Ho 3.38-3.72, 3 Nd 3.45-3.74, 4 Pm 3.51-3.68
Nd  0.1905  0.1905  0.3721  4 Ho 3.41-3.56, 1 Pm 3.45, 6 Nd 3.51-3.63
Nd  0.4327  0.4327  0.8625  5 Nd 3.51-3.58, 4 Ho 3.66-3.90, 2 Pm 3.74
Nd  0.5673  0.5673  0.1375  5 Nd 3.51-3.58, 4 Ho 3.66-3.90, 2 Pm 3.74
Nd  0.8095  0.8095  0.6279  4 Ho 3.41-3.56, 1 Pm 3.45, 6 Nd 3.51-3.63
Ho  0.0585  0.0585  0.4459  8 Ho 3.27-3.64, 1 Nd 3.41
Ho  0.1946  0.1946  0.7149  3 Pm 3.38-3.57, 5 Ho 3.50-3.58, 3 Nd 3.51-3.56
Ho  0.4308  0.4308  0.2389  8 Ho 3.51-3.64, 2 Nd 3.66-3.90, 2 Pm 3.72
Ho  0.5692  0.5692  0.7611  8 Ho 3.51-3.64, 2 Nd 3.66-3.90, 2 Pm 3.72
Ho  0.8054  0.8054  0.2851  3 Pm 3.38-3.57, 5 Ho 3.50-3.58, 3 Nd 3.51-3.56
Ho  0.9415  0.9415  0.5541  8 Ho 3.27-3.64, 1 Nd 3.41

V   402.8 Å³ per cell
D(E_F)   1.528 states/eV/atom
SG   C2/m, No. 12
Total moment   0.00 μB per cell

=====

Stability ranking, top entry: 1; the second entry is 2.1 kJ/mol of atoms less favorable.

=====

1 | Pm2Nd3Ho2: optimized geometry, PBE-GGA.

Lattice parameters (Å, degrees): 9.0613 9.0613 8.6592 118.32 118.32 22.57
With the nearest neighbours (Å) after each atom.
Positions (direct):
Pm  0.0648  0.0648  0.4115  3 Pm 3.33-3.55, 5 Nd 3.51-3.68, 2 Ho 3.65
Pm  0.9352  0.9352  0.5885  3 Pm 3.33-3.55, 5 Nd 3.51-3.68, 2 Ho 3.65
Nd  0.2872  0.2872  0.7032  5 Nd 3.39-3.57, 3 Pm 3.51-3.68, 3 Ho 3.62-3.64
Nd  0.5000  0.5000  0.0000  4 Nd 3.39-3.55, 2 Ho 3.56, 4 Pm 3.63
Nd  0.7128  0.7128  0.2968  5 Nd 3.39-3.57, 3 Pm 3.51-3.68, 3 Ho 3.62-3.64
Ho  0.3528  0.3528  0.1691  4 Ho 3.55-3.84, 4 Nd 3.56-3.64, 4 Pm 3.65-3.75
Ho  0.6472  0.6472  0.8309  4 Ho 3.55-3.84, 4 Nd 3.56-3.64, 4 Pm 3.65-3.75

V   238.8 Å³ per cell
D(E_F)   1.536 states/eV/atom
SG   C2/m, No. 12
Total moment   0.00 μB per cell

=====

2 | Pm2Nd3Ho2: optimized geometry, PBE-GGA.

Lattice parameters (Å, degrees): 6.2758 6.2758 10.8784 95.64 95.64 33.62
With the nearest neighbours (Å) after each atom.
Positions (direct):
Pm  0.2160  0.2160  0.3566  5 Nd 3.60-3.65, 3 Ho 3.61-3.63, 4 Pm 3.63
Pm  0.7840  0.7840  0.6434  5 Nd 3.60-3.65, 3 Ho 3.61-3.63, 4 Pm 3.63
Nd  0.3583  0.3583  0.9292  5 Nd 3.59-3.64, 5 Ho 3.61-3.64, 2 Pm 3.63
Nd  0.5000  0.5000  0.5000  6 Pm 3.60-3.65, 4 Ho 3.63, 2 Nd 3.63
Nd  0.6417  0.6417  0.0708  5 Nd 3.59-3.64, 5 Ho 3.61-3.64, 2 Pm 3.63
Ho  0.0711  0.0711  0.7860  3 Pm 3.61-3.63, 7 Nd 3.61-3.64, 2 Ho 3.63
Ho  0.9289  0.9289  0.2140  3 Pm 3.61-3.63, 7 Nd 3.61-3.64, 2 Ho 3.63

V   236.0 Å³ per cell
D(E_F)   1.380 states/eV/atom
SG   C2/m, No. 12
Total moment   0.00 μB per cell

=====

Stability ranking, top entry: 2; the second entry is 9.7 kJ/mol of atoms less favorable.

=====

1 | Pm2NdHo3: optimized geometry, PBE-GGA.

Lattice parameters (Å, degrees): 11.7928 11.7928 10.3332 108.29 108.29 17.14
With the nearest neighbours (Å) after each atom.
Positions (direct):
Pm  0.0671  0.0671  0.1392  5 Pm 3.51-3.58, 4 Ho 3.63-3.93, 2 Nd 3.72
Pm  0.3090  0.3090  0.6276  4 Ho 3.40-3.54, 1 Nd 3.43, 6 Pm 3.51-3.61
Pm  0.6910  0.6910  0.3724  4 Ho 3.40-3.54, 1 Nd 3.43, 6 Pm 3.51-3.61
Pm  0.9329  0.9329  0.8608  5 Pm 3.51-3.58, 4 Ho 3.63-3.93, 2 Nd 3.72
Nd  0.3134  0.3134  0.9629  5 Ho 3.40-3.72, 3 Pm 3.43-3.72, 4 Nd 3.51-3.72
Nd  0.6866  0.6866  0.0371  5 Ho 3.40-3.72, 3 Pm 3.43-3.72, 4 Nd 3.51-3.72
Ho  0.0686  0.0686  0.7604  8 Ho 3.51-3.64, 2 Pm 3.63-3.93, 2 Nd 3.72
Ho  0.3053  0.3053  0.2852  3 Nd 3.40-3.58, 5 Ho 3.49-3.58, 3 Pm 3.51-3.54
Ho  0.4412  0.4412  0.5542  8 Ho 3.28-3.64, 1 Pm 3.40
Ho  0.5588  0.5588  0.4458  8 Ho 3.28-3.64, 1 Pm 3.40
Ho  0.6947  0.6947  0.7148  3 Nd 3.40-3.58, 5 Ho 3.49-3.58, 3 Pm 3.51-3.54
Ho  0.9314  0.9314  0.2396  8 Ho 3.51-3.64, 2 Pm 3.63-3.93, 2 Nd 3.72

V   401.6 Å³ per cell
D(E_F)   1.540 states/eV/atom
SG   C2/m, No. 12
Total moment   0.00 μB per cell

=====

2 | Pm2NdHo3: optimized geometry, PBE-GGA.

Lattice parameters (Å, degrees): 8.1453 8.1453 6.4032 90.00 90.00 108.48
With the nearest neighbours (Å) after each atom.
Positions (direct):
Pm  0.1229  0.2394  0.0000  4 Ho 3.36-3.52, 3 Pm 3.45-3.55
Pm  0.2394  0.1229  0.5000  4 Ho 3.36-3.52, 3 Pm 3.45-3.55
Pm  0.7606  0.8771  0.0000  4 Ho 3.36-3.52, 3 Pm 3.45-3.55
Pm  0.8771  0.7606  0.5000  4 Ho 3.36-3.52, 3 Pm 3.45-3.55
Nd  0.3251  0.6749  0.2756  6 Ho 3.19-3.41
Nd  0.6749  0.3251  0.7756  6 Ho 3.19-3.41
Ho  0.0128  0.6225  0.9559  2 Nd 3.19-3.25, 3 Pm 3.36-3.52, 1 Ho 3.47
Ho  0.3775  0.9872  0.9559  2 Nd 3.19-3.25, 3 Pm 3.36-3.52, 1 Ho 3.47
Ho  0.4174  0.5826  0.7507  3 Nd 3.28-3.58, 2 Pm 3.44, 2 Ho 3.66
Ho  0.5826  0.4174  0.2507  3 Nd 3.28-3.58, 2 Pm 3.44, 2 Ho 3.66
Ho  0.6225  0.0128  0.4559  2 Nd 3.19-3.25, 3 Pm 3.36-3.52, 1 Ho 3.47
Ho  0.9872  0.3775  0.4559  2 Nd 3.19-3.25, 3 Pm 3.36-3.52, 1 Ho 3.47

V   402.9 Å³ per cell
D(E_F)   1.528 states/eV/atom
SG   Cmc2_1, No. 36
Total moment   0.00 μB per cell

=====

Stability ranking, top entry: 1; the second entry is 8.8 kJ/mol of atoms less favorable.

=====

1 | Pm4NdHo7: optimized geometry, PBE-GGA.

Lattice parameters (Å, degrees): 6.5818 6.8629 9.0603 84.67 77.10 81.38
With the nearest neighbours (Å) after each atom.
Positions (direct):
Pm  0.1387  0.3039  0.2872  8 Ho 3.34-3.72, 1 Nd 3.43, 2 Pm 3.52-3.56
Pm  0.3350  0.8877  0.6889  8 Ho 3.43-3.83, 2 Pm 3.52-3.56
Pm  0.6650  0.1123  0.3111  8 Ho 3.43-3.83, 2 Pm 3.52-3.56
Pm  0.8613  0.6961  0.7128  8 Ho 3.34-3.72, 1 Nd 3.43, 2 Pm 3.52-3.56
Nd  0.5000  0.5000  0.0000  4 Ho 3.43-3.51, 2 Pm 3.43
Ho  0.0139  0.2502  0.9508  5 Ho 3.38-3.59, 4 Pm 3.39-3.72, 1 Nd 3.51
Ho  0.1814  0.7969  0.3565  5 Ho 3.38-3.71, 4 Pm 3.46-3.56
Ho  0.3115  0.3957  0.6161  5 Ho 3.29-3.63, 4 Pm 3.34-3.56
Ho  0.5000  0.0000  0.0000  4 Pm 3.43-3.68, 2 Nd 3.43, 4 Ho 3.50-3.71
Ho  0.6885  0.6043  0.3839  5 Ho 3.29-3.63, 4 Pm 3.34-3.56
Ho  0.8186  0.2031  0.6435  5 Ho 3.38-3.71, 4 Pm 3.46-3.56
Ho  0.9861  0.7498  0.0492  5 Ho 3.38-3.59, 4 Pm 3.39-3.72, 1 Nd 3.51

V   393.7 Å³ per cell
D(E_F)   1.649 states/eV/atom
SG   P-1, No. 2
Total moment   0.00 μB per cell

=====

2 | Pm4NdHo7: optimized geometry, PBE-GGA.

Lattice parameters (Å, degrees): 6.7471 6.7471 12.7588 114.95 114.95 51.92
With the nearest neighbours (Å) after each atom.
Positions (direct):
Pm  0.1353  0.1353  0.2765  7 Ho 3.38-3.66, 2 Pm 3.65
Pm  0.2692  0.2692  0.8283  5 Ho 3.28-3.66, 2 Pm 3.65
Pm  0.7308  0.7308  0.1717  5 Ho 3.28-3.66, 2 Pm 3.65
Pm  0.8647  0.8647  0.7235  7 Ho 3.38-3.66, 2 Pm 3.65
Nd  0.5000  0.5000  0.5000  4 Ho 2.95-3.14
Ho  0.0000  0.0000  0.5000  2 Nd 2.95, 2 Ho 3.17
Ho  0.1323  0.1323  0.9974  4 Ho 3.24-3.58, 5 Pm 3.28-3.55
Ho  0.2892  0.2892  0.5770  1 Nd 3.14, 4 Ho 3.17-3.43, 4 Pm 3.33-3.39
Ho  0.4334  0.4334  0.1809  4 Ho 3.29-3.58, 3 Pm 3.66
Ho  0.5666  0.5666  0.8191  4 Ho 3.29-3.58, 3 Pm 3.66
Ho  0.7108  0.7108  0.4230  1 Nd 3.14, 4 Ho 3.17-3.43, 4 Pm 3.33-3.39
Ho  0.8677  0.8677  0.0026  4 Ho 3.24-3.58, 5 Pm 3.28-3.55

V   403.7 Å³ per cell
D(E_F)   1.639 states/eV/atom
SG   C2/m, No. 12
Total moment   0.00 μB per cell

=====

Stability ranking, top entry: 1; the second entry is 16.8 kJ/mol of atoms less favorable.

=====

1 | PmNd6Ho12: optimized geometry, PBE-GGA.

Lattice parameters (Å, degrees): 8.6706 8.6706 8.6706 79.66 79.66 79.66
With the nearest neighbours (Å) after each atom.
Positions (direct):
Pm  0.0000  0.0000  0.0000  6 Nd 3.07
Nd  0.1643  0.7690  0.7690  1 Pm 3.07, 3 Ho 3.33-3.39
Nd  0.2310  0.2310  0.8357  1 Pm 3.07, 3 Ho 3.33-3.39
Nd  0.2310  0.8357  0.2310  1 Pm 3.07, 3 Ho 3.33-3.39
Nd  0.7690  0.1643  0.7690  1 Pm 3.07, 3 Ho 3.33-3.39
Nd  0.7690  0.7690  0.1643  1 Pm 3.07, 3 Ho 3.33-3.39
Nd  0.8357  0.2310  0.2310  1 Pm 3.07, 3 Ho 3.33-3.39
Ho  0.1376  0.1376  0.4828  7 Ho 3.47-3.83, 5 Nd 3.56-3.68
Ho  0.1376  0.4828  0.1376  7 Ho 3.47-3.83, 5 Nd 3.56-3.68
Ho  0.1964  0.5151  0.5151  3 Nd 3.33-3.39, 5 Ho 3.47-3.54
Ho  0.4828  0.1376  0.1376  7 Ho 3.47-3.83, 5 Nd 3.56-3.68
Ho  0.4849  0.4849  0.8036  3 Nd 3.33-3.39, 5 Ho 3.47-3.54
Ho  0.4849  0.8036  0.4849  3 Nd 3.33-3.39, 5 Ho 3.47-3.54
Ho  0.5151  0.1964  0.5151  3 Nd 3.33-3.39, 5 Ho 3.47-3.54
Ho  0.5151  0.5151  0.1964  3 Nd 3.33-3.39, 5 Ho 3.47-3.54
Ho  0.5172  0.8624  0.8624  7 Ho 3.47-3.83, 5 Nd 3.56-3.68
Ho  0.8036  0.4849  0.4849  3 Nd 3.33-3.39, 5 Ho 3.47-3.54
Ho  0.8624  0.5172  0.8624  7 Ho 3.47-3.83, 5 Nd 3.56-3.68
Ho  0.8624  0.8624  0.5172  7 Ho 3.47-3.83, 5 Nd 3.56-3.68

V   623.5 Å³ per cell
D(E_F)   1.584 states/eV/atom
SG   R-3m, No. 166
Total moment   0.00 μB per cell

=====

2 | PmNd6Ho12: optimized geometry, PBE-GGA.

Lattice parameters (Å, degrees): 8.7422 8.7422 8.7422 98.69 98.69 98.69
With the nearest neighbours (Å) after each atom.
Positions (direct):
Pm  0.0000  0.0000  0.0000  6 Nd 3.45-3.46
Nd  0.0986  0.0986  0.6549  1 Nd 3.09, 1 Pm 3.45
Nd  0.0986  0.6549  0.0986  1 Nd 3.09, 1 Pm 3.45
Nd  0.3451  0.9014  0.9014  1 Nd 3.09, 1 Pm 3.45
Nd  0.6549  0.0986  0.0986  1 Nd 3.09, 1 Pm 3.46
Nd  0.9014  0.3451  0.9014  1 Nd 3.09, 1 Pm 3.46
Nd  0.9014  0.9014  0.3451  1 Nd 3.09, 1 Pm 3.45
Ho  0.0813  0.3557  0.3557  6 Ho 3.35-3.64, 2 Nd 3.70
Ho  0.2435  0.5000  0.7565  6 Ho 3.35-3.54, 4 Nd 3.48-3.58
Ho  0.2435  0.7565  0.5000  6 Ho 3.35-3.54, 4 Nd 3.48-3.58
Ho  0.3557  0.0813  0.3557  6 Ho 3.35-3.64, 2 Nd 3.70
Ho  0.3557  0.3557  0.0813  6 Ho 3.35-3.64, 2 Nd 3.70
Ho  0.5000  0.2435  0.7565  6 Ho 3.35-3.54, 4 Nd 3.48-3.58
Ho  0.5000  0.7565  0.2435  6 Ho 3.35-3.54, 4 Nd 3.48-3.58
Ho  0.6443  0.6443  0.9187  6 Ho 3.35-3.64, 2 Nd 3.70
Ho  0.6443  0.9187  0.6443  6 Ho 3.35-3.64, 2 Nd 3.70
Ho  0.7565  0.2435  0.5000  6 Ho 3.35-3.54, 4 Nd 3.48-3.58
Ho  0.7565  0.5000  0.2435  6 Ho 3.35-3.54, 4 Nd 3.48-3.58
Ho  0.9187  0.6443  0.6443  6 Ho 3.35-3.64, 2 Nd 3.70

V   642.5 Å³ per cell
D(E_F)   1.653 states/eV/atom
SG   R-3m, No. 166
Total moment   0.00 μB per cell

=====

Stability ranking, top entry: 1; the second entry is 9.4 kJ/mol of atoms less favorable.

=====

1 | Pm12Nd5Ho2: optimized geometry, PBE-GGA.

Lattice parameters (Å, degrees): 10.8053 10.8053 6.2740 100.75 100.75 66.42
With the nearest neighbours (Å) after each atom.
Positions (direct):
Pm  0.0486  0.5580  0.8009  6 Pm 3.43-3.84, 3 Nd 3.51-3.72, 1 Ho 3.51
Pm  0.0529  0.0529  0.2736  4 Pm 3.54-3.76, 2 Ho 3.66, 2 Nd 3.79-3.84
Pm  0.1437  0.6511  0.3820  1 Ho 3.35, 3 Nd 3.41-3.70, 5 Pm 3.43-3.68
Pm  0.3489  0.8563  0.6180  1 Ho 3.35, 3 Nd 3.41-3.70, 5 Pm 3.43-3.68
Pm  0.3803  0.3803  0.0028  4 Nd 3.38-3.60, 2 Pm 3.44, 2 Ho 3.47
Pm  0.4420  0.9514  0.1991  6 Pm 3.43-3.84, 3 Nd 3.51-3.72, 1 Ho 3.51
Pm  0.5580  0.0486  0.8009  6 Pm 3.43-3.84, 3 Nd 3.51-3.72, 1 Ho 3.51
Pm  0.6197  0.6197  0.9972  4 Nd 3.38-3.60, 2 Pm 3.44, 2 Ho 3.47
Pm  0.6511  0.1437  0.3820  1 Ho 3.35, 3 Nd 3.41-3.70, 5 Pm 3.43-3.68
Pm  0.8563  0.3489  0.6180  1 Ho 3.35, 3 Nd 3.41-3.70, 5 Pm 3.43-3.68
Pm  0.9471  0.9471  0.7264  4 Pm 3.54-3.76, 2 Ho 3.66, 2 Nd 3.79-3.84
Pm  0.9514  0.4420  0.1991  6 Pm 3.43-3.84, 3 Nd 3.51-3.72, 1 Ho 3.51
Nd  0.1759  0.1759  0.8579  6 Pm 3.41-3.79, 2 Nd 3.58-3.78
Nd  0.2851  0.2851  0.4467  8 Pm 3.51-3.72, 3 Nd 3.58-3.83
Nd  0.5000  0.5000  0.5000  6 Pm 3.38-3.52
Nd  0.7149  0.7149  0.5533  8 Pm 3.51-3.72, 3 Nd 3.58-3.83
Nd  0.8241  0.8241  0.1421  6 Pm 3.41-3.79, 2 Nd 3.58-3.78
Ho  0.2706  0.7294  0.0000  8 Pm 3.35-3.66
Ho  0.7294  0.2706  0.0000  8 Pm 3.35-3.66

V   654.4 Å³ per cell
D(E_F)   1.477 states/eV/atom
SG   C2/m, No. 12
Total moment   0.00 μB per cell

=====

2 | Pm12Nd5Ho2: optimized geometry, PBE-GGA.

Lattice parameters (Å, degrees): 10.0619 10.0619 10.5046 110.20 110.20 42.05
With the nearest neighbours (Å) after each atom.
Positions (direct):
Pm  0.0024  0.0024  0.3203  7 Pm 3.46-3.81, 2 Ho 3.71, 1 Nd 3.84
Pm  0.0830  0.5849  0.4804  6 Pm 3.33-3.69, 1 Nd 3.55
Pm  0.0923  0.5889  0.1338  6 Pm 3.46-3.69, 2 Nd 3.65-3.66, 1 Ho 3.76
Pm  0.4111  0.9077  0.8662  6 Pm 3.46-3.69, 2 Nd 3.65-3.66, 1 Ho 3.76
Pm  0.4151  0.9170  0.5196  6 Pm 3.33-3.69, 1 Nd 3.55
Pm  0.4771  0.4771  0.7592  1 Nd 2.91, 2 Ho 3.14
Pm  0.5229  0.5229  0.2408  1 Nd 2.91, 2 Ho 3.14
Pm  0.5849  0.0830  0.4804  6 Pm 3.33-3.69, 1 Nd 3.55
Pm  0.5889  0.0923  0.1338  6 Pm 3.46-3.69, 2 Nd 3.65-3.66, 1 Ho 3.76
Pm  0.9077  0.4111  0.8662  6 Pm 3.46-3.69, 2 Nd 3.65-3.66, 1 Ho 3.76
Pm  0.9170  0.4151  0.5196  6 Pm 3.33-3.69, 1 Nd 3.55
Pm  0.9976  0.9976  0.6797  7 Pm 3.46-3.81, 2 Ho 3.71, 1 Nd 3.84
Nd  0.1750  0.1750  0.2079  2 Ho 3.58, 2 Nd 3.63, 9 Pm 3.75-3.94
Nd  0.3153  0.3153  0.8163  5 Pm 3.31-3.66, 2 Nd 3.63
Nd  0.5000  0.5000  0.5000  2 Pm 2.91
Nd  0.6847  0.6847  0.1837  5 Pm 3.31-3.66, 2 Nd 3.63
Nd  0.8250  0.8250  0.7921  2 Ho 3.58, 2 Nd 3.63, 9 Pm 3.75-3.94
Ho  0.2203  0.7797  0.0000  2 Pm 3.14, 1 Ho 3.18
Ho  0.7797  0.2203  0.0000  2 Pm 3.14, 1 Ho 3.18

V   661.8 Å³ per cell
D(E_F)   1.651 states/eV/atom
SG   C2/m, No. 12
Total moment   0.00 μB per cell

=====

Stability ranking, top entry: 1; the second entry is 6.9 kJ/mol of atoms less favorable.